No. 1
Density functional theory data (PBE) for an optimized crystal structure of SrMg3W.

a b c (Å): 5.303 5.303 5.303
angles (deg): 90.00 90.00 90.00
Each line ends with the local moment (μB).
Fractional positions:
Sr1 0.500 0.500 0.500  -0.02
Mg1 0.000 0.500 0.000  0.02
Mg2 0.000 0.000 0.500  -0.01
Mg3 0.500 0.000 0.000  0.02
W1 0.000 0.000 0.000  1.31

Formation enthalpy at 0 K = 0.78 eV per atom
Excess energy over the best structure of this formula in the dataset = 0.0 kJ per mole of atoms
Size of the total moment = 1.7 μB per formula unit
Space-group type = Pm-3m

No. 2
Density functional theory data (PBE) for an optimized crystal structure of Ca3Gd.

a b c (Å): 5.407 5.407 5.407
angles (deg): 90.00 90.00 90.00
Each line ends with the local moment (μB).
Fractional positions:
Ca1 0.000 0.500 0.500  0.03
Ca2 0.500 0.000 0.500  0.03
Ca3 0.500 0.500 0.000  0.03
Gd1 0.000 0.000 0.000  7.25

Formation enthalpy at 0 K = 0.12 eV per atom
Excess energy over the best structure of this formula in the dataset = 3.7 kJ per mole of atoms
Size of the total moment = 8.2 μB per formula unit
Space-group type = Pm-3m

No. 3
Density functional theory data (PBE) for an optimized crystal structure of TmGaAu.

a b c (Å): 5.665 5.665 7.043
angles (deg): 52.47 52.47 46.39
Fractional positions:
Tm1 0.461 0.461 0.298
Tm2 0.539 0.539 0.702
Ga1 0.157 0.157 0.897
Ga2 0.843 0.843 0.103
Au1 0.823 0.823 0.714
Au2 0.177 0.177 0.286

Formation enthalpy at 0 K = -0.78 eV per atom
Size of the total moment = 0.0 μB per formula unit
Space-group type = C2/m

No. 4
Density functional theory data (PBE) for an optimized crystal structure of MgCdRe3.

a b c (Å): 4.550 4.550 4.550
angles (deg): 90.00 90.00 90.00
Each line ends with the local moment (μB).
Fractional positions:
Re1 0.000 0.500 0.000  0.49
Re2 0.000 0.000 0.500  0.77
Re3 0.500 0.000 0.000  0.39
Mg1 0.000 0.000 0.000  0.01
Cd1 0.500 0.500 0.500  0.00

Formation enthalpy at 0 K = 2.45 eV per atom
Excess energy over the best structure of this formula in the dataset = 0.0 kJ per mole of atoms
Size of the total moment = 1.8 μB per formula unit
Space-group type = Pm-3m